A geometry-optimized HfSiSN2 structure. Source: Alexandria, functional GGA-PBE.

**SG**: P4/mmm, No. 123
**Distance to the lowest polymorph of the same formula**: 0 meV per atom
**DOS(E_F)**: 1.045 states/eV/cell
**Formation energy without anion corrections**: -122 meV per atom
**Crystal system**: tetragonal

Cell lengths 3.6363, 3.6363, 4.5130 Å; angles 90.00, 90.00, 90.00 degrees
Sites, in units of the cell vectors:
Si  0.0000  0.0000  0.0000
Hf  0.5000  0.5000  0.5000
N  0.5000  0.0000  0.0000
N  0.0000  0.5000  0.0000
S  0.0000  0.0000  0.5000